# 1
Compound: BaAc3
Source: the Alexandria database
Functional: GGA-PBE
Structure: relaxed

Geometry as CIF:
```
data_BaAc3
_chemical_formula_sum 'Ba1 Ac3'
_cell_length_a 4.0811
_cell_length_b 6.5670
_cell_length_c 7.1747
_cell_angle_alpha 90.00
_cell_angle_beta 90.00
_cell_angle_gamma 90.00
_space_group_name_H-M_alt 'P 1'
_space_group_IT_number 1
_space_group_name_Hall 'P 1'
loop_
_atom_site_label
_atom_site_type_symbol
_atom_site_fract_x
_atom_site_fract_y
_atom_site_fract_z
Ac1 Ac 0.5000 0.0000 0.5130
Ac2 Ac 0.0000 0.0000 0.9920
Ba1 Ba 0.0000 0.5000 0.3305
Ac3 Ac 0.5000 0.5000 0.8311
```

Results
Its raw total energy is -3.478 eV/atom. The density comes out at 7.07 g/cm³.

# 2
Compound: Ba3Ac2
Source: the Alexandria database
Functional: GGA-PBE
Structure: relaxed

Geometry as CIF:
```
data_Ba3Ac2
_chemical_formula_sum 'Ba3 Ac2'
_cell_length_a 4.2128
_cell_length_b 4.2128
_cell_length_c 17.6162
_cell_angle_alpha 83.13
_cell_angle_beta 83.13
_cell_angle_gamma 60.00
_space_group_name_H-M_alt 'P 1'
_space_group_IT_number 1
_space_group_name_Hall 'P 1'
loop_
_atom_site_label
_atom_site_type_symbol
_atom_site_fract_x
_atom_site_fract_y
_atom_site_fract_z
Ac1 Ac 0.3038 0.3038 0.0887
Ac2 Ac 0.6962 0.6962 0.9113
Ba1 Ba 0.5000 0.5000 0.5000
Ba2 Ba 0.0954 0.0954 0.7137
Ba3 Ba 0.9046 0.9046 0.2863
```

Results
Its excess energy over the best structure of this formula in the dataset is 0 meV/atom. Its raw total energy is -2.738 eV/atom. The density comes out at 5.36 g/cm³.

# 3
Compound: BaAc5
Source: the Alexandria database
Functional: GGA-PBE
Structure: relaxed

Geometry as CIF:
```
data_BaAc5
_chemical_formula_sum 'Ba1 Ac5'
_cell_length_a 5.7366
_cell_length_b 5.7076
_cell_length_c 9.0660
_cell_angle_alpha 108.35
_cell_angle_beta 90.00
_cell_angle_gamma 90.00
_space_group_name_H-M_alt 'P 1'
_space_group_IT_number 1
_space_group_name_Hall 'P 1'
loop_
_atom_site_label
_atom_site_type_symbol
_atom_site_fract_x
_atom_site_fract_y
_atom_site_fract_z
Ac1 Ac 0.0000 0.3287 0.6573
Ac2 Ac 0.5000 0.5000 0.0000
Ac3 Ac 0.5000 0.1716 0.3432
Ac4 Ac 0.0000 0.6713 0.3427
Ba1 Ba 0.0000 0.0000 0.0000
Ac5 Ac 0.5000 0.8284 0.6568
```

Results
Its excess energy over the best structure of this formula in the dataset is 23 meV/atom. Its raw total energy is -3.686 eV/atom. The density comes out at 7.50 g/cm³.

# 4
Compound: Ba8Ac
Source: the Alexandria database
Functional: GGA-PBE
Structure: relaxed

Geometry as CIF:
```
data_Ba8Ac
_chemical_formula_sum 'Ba8 Ac1'
_cell_length_a 6.2451
_cell_length_b 9.8111
_cell_length_c 9.8111
_cell_angle_alpha 84.19
_cell_angle_beta 71.44
_cell_angle_gamma 71.44
_space_group_name_H-M_alt 'P 1'
_space_group_IT_number 1
_space_group_name_Hall 'P 1'
loop_
_atom_site_label
_atom_site_type_symbol
_atom_site_fract_x
_atom_site_fract_y
_atom_site_fract_z
Ba1 Ba 0.0000 0.3283 0.6717
Ba2 Ba 0.0000 0.6717 0.3283
Ba3 Ba 0.6717 0.3283 0.3283
Ba4 Ba 0.3386 0.0000 0.3229
Ba5 Ba 0.3283 0.6717 0.6717
Ac1 Ac 0.0000 0.0000 0.0000
Ba6 Ba 0.6614 0.6772 0.0000
Ba7 Ba 0.6614 0.0000 0.6772
Ba8 Ba 0.3386 0.3229 0.0000
```

Results
Its raw total energy is -2.111 eV/atom. The density comes out at 4.07 g/cm³.

# 5
Compound: Ba3Ac
Source: the Alexandria database
Functional: GGA-PBE
Structure: relaxed

Geometry as CIF:
```
data_Ba3Ac
_chemical_formula_sum 'Ba3 Ac1'
_cell_length_a 6.0773
_cell_length_b 6.0773
_cell_length_c 6.0773
_cell_angle_alpha 90.00
_cell_angle_beta 90.00
_cell_angle_gamma 90.00
_space_group_name_H-M_alt 'P 1'
_space_group_IT_number 1
_space_group_name_Hall 'P 1'
loop_
_atom_site_label
_atom_site_type_symbol
_atom_site_fract_x
_atom_site_fract_y
_atom_site_fract_z
Ba1 Ba 0.5000 0.0000 0.5000
Ac1 Ac 0.0000 0.0000 0.0000
Ba2 Ba 0.5000 0.5000 0.0000
Ba3 Ba 0.0000 0.5000 0.5000
```

Results
Its excess energy over the best structure of this formula in the dataset is 43 meV/atom. Its raw total energy is -2.358 eV/atom. The density comes out at 4.73 g/cm³.

# 6
Compound: BaAc3
Source: the Alexandria database
Functional: GGA-PBE
Structure: relaxed

Geometry as CIF:
```
data_BaAc3
_chemical_formula_sum 'Ba1 Ac3'
_cell_length_a 4.0908
_cell_length_b 4.0908
_cell_length_c 13.3408
_cell_angle_alpha 90.00
_cell_angle_beta 90.00
_cell_angle_gamma 120.00
_space_group_name_H-M_alt 'P 1'
_space_group_IT_number 1
_space_group_name_Hall 'P 1'
loop_
_atom_site_label
_atom_site_type_symbol
_atom_site_fract_x
_atom_site_fract_y
_atom_site_fract_z
Ba1 Ba 0.0000 0.0000 0.0000
Ac1 Ac 0.3333 0.6667 0.7379
Ac2 Ac 0.3333 0.6667 0.2621
Ac3 Ac 0.0000 0.0000 0.5000
```

Results
Its raw total energy is -3.504 eV/atom. The density comes out at 7.03 g/cm³.

# 7
Compound: BaAc
Source: the Alexandria database
Functional: GGA-PBE
Structure: relaxed

Geometry as CIF:
```
data_BaAc
_chemical_formula_sum 'Ba2 Ac2'
_cell_length_a 4.1412
_cell_length_b 5.7671
_cell_length_c 8.6339
_cell_angle_alpha 90.00
_cell_angle_beta 90.01
_cell_angle_gamma 90.00
_space_group_name_H-M_alt 'P 1'
_space_group_IT_number 1
_space_group_name_Hall 'P 1'
loop_
_atom_site_label
_atom_site_type_symbol
_atom_site_fract_x
_atom_site_fract_y
_atom_site_fract_z
Ba1 Ba 0.2497 0.7500 0.6374
Ac1 Ac 0.2501 0.7500 0.1044
Ac2 Ac 0.7499 0.2500 0.8956
Ba2 Ba 0.7503 0.2500 0.3626
```

Results
Its excess energy over the best structure of this formula in the dataset is 0 meV/atom. Its raw total energy is -2.933 eV/atom. The density comes out at 5.87 g/cm³.

# 8
Compound: Ba3Ac2
Source: the Alexandria database
Functional: GGA-PBE
Structure: relaxed

Geometry as CIF:
```
data_Ba3Ac2
_chemical_formula_sum 'Ba6 Ac4'
_cell_length_a 8.0129
_cell_length_b 8.0129
_cell_length_c 11.2152
_cell_angle_alpha 69.07
_cell_angle_beta 69.07
_cell_angle_gamma 60.00
_space_group_name_H-M_alt 'P 1'
_space_group_IT_number 1
_space_group_name_Hall 'P 1'
loop_
_atom_site_label
_atom_site_type_symbol
_atom_site_fract_x
_atom_site_fract_y
_atom_site_fract_z
Ba1 Ba 0.7500 0.2509 0.7500
Ba2 Ba 0.2491 0.7500 0.7500
Ac1 Ac 0.1915 0.1915 0.4254
Ac2 Ac 0.3085 0.3085 0.0746
Ba3 Ba 0.2500 0.7491 0.2500
Ac3 Ac 0.8085 0.8085 0.5746
Ba4 Ba 0.2509 0.2491 0.7500
Ba5 Ba 0.7509 0.2500 0.2500
Ba6 Ba 0.7491 0.7509 0.2500
Ac4 Ac 0.6915 0.6915 0.9254
```

Results
Its excess energy over the best structure of this formula in the dataset is 229 meV/atom. Its raw total energy is -2.509 eV/atom. The density comes out at 5.06 g/cm³.